Density functional theory data (PBE) for Pm2PaPt after structural relaxation.

Computed properties:
* final energy: -6.613 eV per atom
* N(E_F): 5.71 states/eV per cell
* magnetization: 0.000 μB per formula unit

abc: 3.5635 3.5635 8.1657
angles: 90.00 90.00 90.00
Closest atoms and distances in Å follow each position.
Fractional positions:
Pm 0.0000 0.0000 0.2152  4 Pt 3.07, 4 Pa 3.43
Pm 0.0000 0.0000 0.7848  4 Pt 3.07, 4 Pa 3.43
Pa 0.5000 0.5000 0.5000  8 Pm 3.43, 4 Pa 3.56
Pt 0.5000 0.5000 0.0000  8 Pm 3.07